[1]
Density functional theory data (PBE) for a geometry-optimized In2SnH structure.

For the energy above the most stable polymorph in this dataset, the calculation gives 0.198 eV/atom.

a b c (Å): 5.006 5.006 5.006
angles (deg): 60.00 60.00 60.00
Sites, in units of the cell vectors:
1 In 0.250 0.250 0.250
2 In 0.750 0.750 0.750
3 Sn 0.000 0.000 0.000
4 H 0.500 0.500 0.500

=====

[2]
Density functional theory data (PBE) for a geometry-optimized In2SnH structure.

For the energy above the most stable polymorph in this dataset, the calculation gives 0.108 eV/atom.

a b c (Å): 7.894 7.894 7.894
angles (deg): 140.81 140.81 56.62
Sites, in units of the cell vectors:
1 In 0.009 0.625 0.884
2 In 0.375 0.259 0.384
3 In 0.741 0.125 0.116
4 In 0.875 0.991 0.616
5 Sn 0.250 0.750 0.500
6 Sn 0.500 0.500 0.000
7 H 0.000 0.000 0.000
8 H 0.750 0.250 0.500

=====

[3]
Density functional theory data (PBE) for a geometry-optimized InSn3H structure.

For the energy above the most stable polymorph in this dataset, the calculation gives 0.809 eV/atom.

a b c (Å): 5.713 5.713 5.713
angles (deg): 90.00 90.00 90.00
Sites, in units of the cell vectors:
1 In 0.000 0.000 0.000
2 Sn 0.000 0.000 0.500
3 Sn 0.000 0.500 0.000
4 Sn 0.500 0.000 0.000
5 H 0.500 0.500 0.500

=====

[4]
Density functional theory data (PBE) for a geometry-optimized In2SnH2 structure.

For the energy above the most stable polymorph in this dataset, the calculation gives 0.220 eV/atom.

a b c (Å): 7.675 7.675 7.675
angles (deg): 153.44 153.44 37.91
Sites, in units of the cell vectors:
1 In 0.154 0.154 0.000
2 In 0.846 0.846 0.000
3 Sn 0.500 0.500 0.000
4 H 0.250 0.750 0.500
5 H 0.750 0.250 0.500

=====

[5]
Density functional theory data (PBE) for a geometry-optimized In2SnH structure.

For the energy above the most stable polymorph in this dataset, the calculation gives 0.000 eV/atom.

a b c (Å): 5.608 3.745 8.254
angles (deg): 90.00 96.51 90.00
Sites, in units of the cell vectors:
1 In 0.069 0.000 0.156
2 In 0.394 0.999 0.799
3 In 0.606 0.499 0.201
4 In 0.931 0.500 0.844
5 Sn 0.233 0.500 0.469
6 Sn 0.767 0.000 0.531
7 H 0.423 0.997 0.097
8 H 0.577 0.497 0.903

=====

[6]
Density functional theory data (PBE) for a geometry-optimized SrInSnH2 structure.

The value obtained for the energy is -2.8344 eV per atom.

a b c (Å): 4.402 4.402 7.358
angles (deg): 90.00 90.00 90.00
Sites, in units of the cell vectors:
1 Sr 0.000 0.000 0.000
2 In 0.000 0.000 0.500
3 Sn 0.500 0.500 0.500
4 H 0.000 0.500 0.000
5 H 0.500 0.000 0.000

=====

What is the formula in the fifth record? In2SnH